Record 1
Compound: InRuSCl2
Source: the Alexandria database
Functional: PBE
Structure: optimized geometry

Geometry as POSCAR:
```
InRuSCl2
1.0
-3.6172 0.7616 -3.4087
-1.1693 -4.8881 0.1486
-3.3358 0.9118 3.7435
Cl In S Ru
2 1 1 1
Cartesian
-0.5847 -2.4440 0.0743
-1.8086 0.3808 -1.7043
0.0000 0.0000 0.0000
-1.6679 0.4559 1.8718
-4.0611 -1.6073 0.2418
```

Summary:
The density of states at the Fermi level comes out at 5.87 states/eV/cell. The energy above the most stable polymorph in this dataset comes out at 0.789 eV/atom.

Record 2
Compound: InRuSCl2
Source: the Alexandria database
Functional: PBE
Structure: optimized geometry

Geometry as POSCAR:
```
InRuSCl2
1.0
-1.0624 -2.3482 4.3528
4.8986 0.1134 1.2568
-0.5872 3.8621 1.9402
Cl S Ru In
2 1 1 1
Cartesian
2.4493 0.0567 0.6284
-0.5312 -1.1741 2.1764
-0.2936 1.9311 0.9701
0.0000 0.0000 0.0000
1.6245 0.8137 3.7749
```

Summary:
The density of states at the Fermi level comes out at 1.86 states/eV/cell. The energy above the most stable polymorph in this dataset comes out at 0.000 eV/atom.

Record 3
Compound: In2SbRuCl
Source: the Alexandria database
Functional: PBE
Structure: optimized geometry

Geometry as POSCAR:
```
In2SbRuCl
1.0
-2.6064 4.3935 -1.2495
-3.2459 -2.7937 -3.0524
-3.0020 -0.6927 3.8263
Sb Cl Ru In
1 1 1 2
Cartesian
-1.5010 -0.3463 1.9132
-4.4272 0.4536 -0.2378
0.0000 0.0000 0.0000
-1.6230 -1.3968 -1.5262
-1.3032 2.1968 -0.6247
```

Summary:
The density of states at the Fermi level comes out at 0.56 states/eV/cell. The value obtained for the raw total energy is -22.218 eV per cell.